one:
# HfTi2Cu2

An optimized crystal structure of HfTi2Cu2 (PBE, the Alexandria database).

D(E_F): 1.726 states/eV/atom
Total magnetization: 0.00 μB/atom

CIF file:
```
data_HfTi2Cu2
_chemical_formula_sum 'Hf2 Ti4 Cu4'
_space_group_name_H-M_alt 'P 4/m b m'
_space_group_IT_number 127
_space_group_name_Hall '-P 4 2ab'
_cell_length_a 7.293
_cell_length_b 7.293
_cell_length_c 3.042
_cell_angle_alpha 90.00
_cell_angle_beta 90.00
_cell_angle_gamma 90.00
loop_
_atom_site_label
_atom_site_type_symbol
_atom_site_fract_x
_atom_site_fract_y
_atom_site_fract_z
_atom_site_occupancy
Hf1 Hf 0.000 0.000 0.000 1
Ti1 Ti 0.171 0.329 0.500 1
Cu1 Cu 0.123 0.623 0.000 1
```

two:
# HfTi2Cu2

An optimized crystal structure of HfTi2Cu2 (PBE, the Alexandria database).

D(E_F): 1.516 states/eV/atom
Total magnetization: 0.16 μB/atom

CIF file:
```
data_HfTi2Cu2
_chemical_formula_sum 'Hf2 Ti4 Cu4'
_space_group_name_H-M_alt 'I 4/m m m'
_space_group_IT_number 139
_space_group_name_Hall '-I 4 2'
_cell_length_a 3.807
_cell_length_b 3.807
_cell_length_c 11.497
_cell_angle_alpha 90.00
_cell_angle_beta 90.00
_cell_angle_gamma 90.00
loop_
_atom_site_label
_atom_site_type_symbol
_atom_site_fract_x
_atom_site_fract_y
_atom_site_fract_z
_atom_site_occupancy
Hf1 Hf 0.000 0.000 0.000 1
Ti1 Ti 0.000 0.500 0.250 1
Cu1 Cu 0.000 0.000 0.401 1
```

Of them, the most stable is one and the least stable is two.

one:
# HfTi2Cu2

An optimized crystal structure of HfTi2Cu2 (PBE, the Alexandria database).

D(E_F): 0.746 states/eV/atom
Total magnetization: 0.00 μB/atom

CIF file:
```
data_HfTi2Cu2
_chemical_formula_sum 'Hf2 Ti4 Cu4'
_space_group_name_H-M_alt 'P 4/m b m'
_space_group_IT_number 127
_space_group_name_Hall '-P 4 2ab'
_cell_length_a 7.686
_cell_length_b 7.686
_cell_length_c 2.713
_cell_angle_alpha 90.00
_cell_angle_beta 90.00
_cell_angle_gamma 90.00
loop_
_atom_site_label
_atom_site_type_symbol
_atom_site_fract_x
_atom_site_fract_y
_atom_site_fract_z
_atom_site_occupancy
Hf1 Hf 0.000 0.000 0.000 1
Ti1 Ti 0.129 0.371 0.000 1
Cu1 Cu 0.170 0.670 0.500 1
```

two:
# HfTi2Cu2

An optimized crystal structure of HfTi2Cu2 (PBE, the Alexandria database).

D(E_F): 1.131 states/eV/atom
Total magnetization: 0.20 μB/atom

CIF file:
```
data_HfTi2Cu2
_chemical_formula_sum 'Hf2 Ti4 Cu4'
_space_group_name_H-M_alt 'I 4/m m m'
_space_group_IT_number 139
_space_group_name_Hall '-I 4 2'
_cell_length_a 3.809
_cell_length_b 3.809
_cell_length_c 11.774
_cell_angle_alpha 90.00
_cell_angle_beta 90.00
_cell_angle_gamma 90.00
loop_
_atom_site_label
_atom_site_type_symbol
_atom_site_fract_x
_atom_site_fract_y
_atom_site_fract_z
_atom_site_occupancy
Hf1 Hf 0.000 0.000 0.000 1
Ti1 Ti 0.000 0.000 0.391 1
Cu1 Cu 0.000 0.500 0.250 1
```

Of them, the most stable is one and the least stable is two.

one:
# Hf2TlCu

An optimized crystal structure of Hf2TlCu (PBE, the Alexandria database).

D(E_F): 1.074 states/eV/atom
Total magnetization: 0.08 μB/atom

CIF file:
```
data_Hf2TlCu
_chemical_formula_sum 'Hf2 Tl1 Cu1'
_space_group_name_H-M_alt 'P 4/m m m'
_space_group_IT_number 123
_space_group_name_Hall '-P 4 2'
_cell_length_a 4.331
_cell_length_b 4.331
_cell_length_c 4.198
_cell_angle_alpha 90.00
_cell_angle_beta 90.00
_cell_angle_gamma 90.00
loop_
_atom_site_label
_atom_site_type_symbol
_atom_site_fract_x
_atom_site_fract_y
_atom_site_fract_z
_atom_site_occupancy
Hf1 Hf 0.000 0.500 0.000 1
Tl1 Tl 0.000 0.000 0.500 1
Cu1 Cu 0.500 0.500 0.500 1
```

two:
# Hf2TlCu

An optimized crystal structure of Hf2TlCu (PBE, the Alexandria database).

D(E_F): 1.362 states/eV/atom
Total magnetization: 0.00 μB/atom

CIF file:
```
data_Hf2TlCu
_chemical_formula_sum 'Hf6 Tl3 Cu3'
_space_group_name_H-M_alt 'R -3 m'
_space_group_IT_number 166
_space_group_name_Hall '-R 3 2"'
_cell_length_a 3.2575
_cell_length_b 3.2575
_cell_length_c 27.3350
_cell_angle_alpha 90.00
_cell_angle_beta 90.00
_cell_angle_gamma 120.00
loop_
_atom_site_label
_atom_site_type_symbol
_atom_site_fract_x
_atom_site_fract_y
_atom_site_fract_z
_atom_site_occupancy
Hf1 Hf 0.0000 0.0000 0.2395 1
Tl1 Tl 0.0000 0.0000 0.0000 1
Cu1 Cu 0.0000 0.0000 0.5000 1
```

three:
# Hf2TlCu

An optimized crystal structure of Hf2TlCu (PBE, the Alexandria database).

D(E_F): 0.104 states/eV/atom
Total magnetization: 0.00 μB/atom

CIF file:
```
data_Hf2TlCu
_chemical_formula_sum 'Hf8 Tl4 Cu4'
_space_group_name_H-M_alt 'F m -3 m'
_space_group_IT_number 225
_space_group_name_Hall '-F 4 2 3'
_cell_length_a 6.815
_cell_length_b 6.815
_cell_length_c 6.815
_cell_angle_alpha 90.00
_cell_angle_beta 90.00
_cell_angle_gamma 90.00
loop_
_atom_site_label
_atom_site_type_symbol
_atom_site_fract_x
_atom_site_fract_y
_atom_site_fract_z
_atom_site_occupancy
Hf1 Hf 0.250 0.250 0.250 1
Tl1 Tl 0.000 0.000 0.000 1
Cu1 Cu 0.000 0.000 0.500 1
```

four:
# Hf2TlCu

An optimized crystal structure of Hf2TlCu (PBE, the Alexandria database).

D(E_F): 0.635 states/eV/atom
Total magnetization: 0.00 μB/atom

CIF file:
```
data_Hf2TlCu
_chemical_formula_sum 'Hf2 Tl1 Cu1'
_space_group_name_H-M_alt 'P 4/m m m'
_space_group_IT_number 123
_space_group_name_Hall '-P 4 2'
_cell_length_a 3.168
_cell_length_b 3.168
_cell_length_c 7.855
_cell_angle_alpha 90.00
_cell_angle_beta 90.00
_cell_angle_gamma 90.00
loop_
_atom_site_label
_atom_site_type_symbol
_atom_site_fract_x
_atom_site_fract_y
_atom_site_fract_z
_atom_site_occupancy
Hf1 Hf 0.000 0.000 0.217 1
Tl1 Tl 0.500 0.500 0.500 1
Cu1 Cu 0.500 0.500 0.000 1
```

Of them, the most stable is four and the least stable is two.

one:
# TmHfCu2

An optimized crystal structure of TmHfCu2 (PBE, the Alexandria database).

D(E_F): 1.138 states/eV/atom
Total magnetization: 0.01 μB/atom

CIF file:
```
data_TmHfCu2
_chemical_formula_sum 'Tm1 Hf1 Cu2'
_space_group_name_H-M_alt 'P 4/m m m'
_space_group_IT_number 123
_space_group_name_Hall '-P 4 2'
_cell_length_a 3.334
_cell_length_b 3.334
_cell_length_c 6.658
_cell_angle_alpha 90.00
_cell_angle_beta 90.00
_cell_angle_gamma 90.00
loop_
_atom_site_label
_atom_site_type_symbol
_atom_site_fract_x
_atom_site_fract_y
_atom_site_fract_z
_atom_site_occupancy
Tm1 Tm 0.000 0.000 0.000 1
Hf1 Hf 0.000 0.000 0.500 1
Cu1 Cu 0.500 0.500 0.281 1
```

two:
# TmHfCu2

An optimized crystal structure of TmHfCu2 (PBE, the Alexandria database).

D(E_F): 0.984 states/eV/atom
Total magnetization: 0.00 μB/atom

CIF file:
```
data_TmHfCu2
_chemical_formula_sum 'Tm4 Hf4 Cu8'
_space_group_name_H-M_alt 'F m -3 m'
_space_group_IT_number 225
_space_group_name_Hall '-F 4 2 3'
_cell_length_a 6.647
_cell_length_b 6.647
_cell_length_c 6.647
_cell_angle_alpha 90.00
_cell_angle_beta 90.00
_cell_angle_gamma 90.00
loop_
_atom_site_label
_atom_site_type_symbol
_atom_site_fract_x
_atom_site_fract_y
_atom_site_fract_z
_atom_site_occupancy
Tm1 Tm 0.000 0.000 0.000 1
Hf1 Hf 0.000 0.000 0.500 1
Cu1 Cu 0.250 0.250 0.250 1
```

Of them, the most stable is one and the least stable is two.

one:
# TmHfCu

An optimized crystal structure of TmHfCu (PBE, the Alexandria database).

D(E_F): 1.239 states/eV/atom
Total magnetization: 0.00 μB/atom

CIF file:
```
data_TmHfCu
_chemical_formula_sum 'Tm2 Hf2 Cu2'
_space_group_name_H-M_alt 'I 4 m m'
_space_group_IT_number 107
_space_group_name_Hall 'I 4 -2'
_cell_length_a 3.294
_cell_length_b 3.294
_cell_length_c 11.531
_cell_angle_alpha 90.00
_cell_angle_beta 90.00
_cell_angle_gamma 90.00
loop_
_atom_site_label
_atom_site_type_symbol
_atom_site_fract_x
_atom_site_fract_y
_atom_site_fract_z
_atom_site_occupancy
Tm1 Tm 0.000 0.000 0.000 1
Hf1 Hf 0.000 0.000 0.302 1
Cu1 Cu 0.000 0.000 0.672 1
```

two:
# TmHfCu

An optimized crystal structure of TmHfCu (PBE, the Alexandria database).

D(E_F): 1.294 states/eV/atom
Total magnetization: 0.00 μB/atom

CIF file:
```
data_TmHfCu
_chemical_formula_sum 'Tm6 Hf6 Cu6'
_space_group_name_H-M_alt 'R -3 m'
_space_group_IT_number 166
_space_group_name_Hall '-R 3 2"'
_cell_length_a 5.0670
_cell_length_b 5.0670
_cell_length_c 17.4822
_cell_angle_alpha 90.00
_cell_angle_beta 90.00
_cell_angle_gamma 120.00
loop_
_atom_site_label
_atom_site_type_symbol
_atom_site_fract_x
_atom_site_fract_y
_atom_site_fract_z
_atom_site_occupancy
Tm1 Tm 0.0000 0.0000 0.1070 1
Hf1 Hf 0.0000 0.0000 0.4041 1
Cu1 Cu 0.0000 0.0000 0.2600 1
```

Of them, the most stable is one and the least stable is two.

one:
# TmHfCu4

An optimized crystal structure of TmHfCu4 (PBE, the Alexandria database).

D(E_F): 0.644 states/eV/atom
Total magnetization: 0.00 μB/atom

CIF file:
```
data_TmHfCu4
_chemical_formula_sum 'Tm4 Hf4 Cu16'
_space_group_name_H-M_alt 'F -4 3 m'
_space_group_IT_number 216
_space_group_name_Hall 'F -4 2 3'
_cell_length_a 7.231
_cell_length_b 7.231
_cell_length_c 7.231
_cell_angle_alpha 90.00
_cell_angle_beta 90.00
_cell_angle_gamma 90.00
loop_
_atom_site_label
_atom_site_type_symbol
_atom_site_fract_x
_atom_site_fract_y
_atom_site_fract_z
_atom_site_occupancy
Tm1 Tm 0.000 0.000 0.000 1
Hf1 Hf 0.250 0.250 0.250 1
Cu1 Cu 0.124 0.124 0.624 1
```

two:
# TmHfCu4

An optimized crystal structure of TmHfCu4 (PBE, the Alexandria database).

D(E_F): 0.639 states/eV/atom
Total magnetization: 0.00 μB/atom

CIF file:
```
data_TmHfCu4
_chemical_formula_sum 'Tm1 Hf1 Cu4'
_space_group_name_H-M_alt 'P 4/m m m'
_space_group_IT_number 123
_space_group_name_Hall '-P 4 2'
_cell_length_a 3.463
_cell_length_b 3.463
_cell_length_c 8.930
_cell_angle_alpha 90.00
_cell_angle_beta 90.00
_cell_angle_gamma 90.00
loop_
_atom_site_label
_atom_site_type_symbol
_atom_site_fract_x
_atom_site_fract_y
_atom_site_fract_z
_atom_site_occupancy
Tm1 Tm 0.000 0.000 0.000 1
Hf1 Hf 0.500 0.500 0.500 1
Cu1 Cu 0.000 0.500 0.260 1
```

Of them, the most stable is one and the least stable is two.